Entry 1:
Crystalline Pr2TlCuO6 at its relaxed geometry, computed with PBE-GGA.

Results
E_form (uncorrected), eV per atom: -1.93

The structure in extended XYZ format:
```
20
Lattice="5.707 0.000 0.434 0.000 5.701 0.000 0.679 0.000 9.159" Properties=species:S:1:pos:R:3 pbc="T T T"
O 5.072 4.371 5.537
O 4.900 4.615 8.676
O 4.508 1.521 8.853
O 1.707 3.936 3.879
O 1.487 1.085 0.917
O 2.571 5.363 6.758
O 4.680 1.765 5.714
O 1.879 4.180 0.740
O 5.085 3.188 2.395
O 3.815 0.338 2.835
O 1.301 2.513 7.198
O 1.314 1.329 4.056
Pr 6.011 0.325 7.131
Pr 3.569 3.175 7.259
Pr 0.376 5.376 2.462
Pr 2.817 2.526 2.334
Tl 3.193 0.000 4.796
Tl 0.000 2.850 0.000
Cu 0.340 2.850 4.580
Cu 2.854 0.000 0.217
```



Entry 2:
Crystalline BaInSn4 at its relaxed geometry, computed with PBE-GGA.

Results
Energy relative to the elements, eV/atom: -0.27
Energy above the lowest structure with this stoichiometry, meV per atom: 31

The structure in extended XYZ format:
```
6
Lattice="6.397 0.000 0.000 3.198 5.540 0.000 3.198 1.847 5.223" Properties=species:S:1:pos:R:3 pbc="T T T"
Sn 6.397 3.693 0.647
Sn 8.001 4.619 3.266
Sn 4.792 4.619 3.266
Sn 6.397 1.841 3.266
In 0.000 0.000 0.000
Ba 3.198 1.847 1.306
```



Entry 3:
Crystalline Sr5PuP5 at its relaxed geometry, computed with PBE-GGA.

Results
Energy relative to the elements, eV/atom: -0.95

The structure in extended XYZ format:
```
11
Lattice="-2.868 -4.071 3.331 -2.133 -0.030 -7.261 7.175 -4.637 0.511" Properties=species:S:1:pos:R:3 pbc="T T T"
Sr 3.588 -2.318 0.256
Sr -0.460 -4.307 -0.272
Sr 3.442 -6.724 0.133
Sr 2.634 -4.431 -3.147
Sr -1.267 -2.013 -3.551
P -2.811 -4.263 -2.242
P 1.153 -2.087 -1.558
P -1.434 -2.035 1.665
P 1.021 -6.651 -1.861
P 4.985 -4.475 -1.177
Pu 0.000 0.000 0.000
```



Entry 4:
Crystalline YBeCd2 at its relaxed geometry, computed with PBE-GGA.

Results
Energy relative to the elements, eV/atom: 0.07

The structure in extended XYZ format:
```
4
Lattice="-1.105 -4.295 0.634 1.765 -0.865 -2.783 5.217 -1.036 2.076" Properties=species:S:1:pos:R:3 pbc="T T T"
Cd 6.602 -1.760 -0.417
Cd 3.872 -1.091 -0.643
Y 1.193 -2.623 0.140
Be 4.685 -3.573 -0.213
```



Copy entry 2 word for word.
Crystalline BaInSn4 at its relaxed geometry, computed with PBE-GGA.

Results
Energy relative to the elements, eV/atom: -0.27
Energy above the lowest structure with this stoichiometry, meV per atom: 31

The structure in extended XYZ format:
```
6
Lattice="6.397 0.000 0.000 3.198 5.540 0.000 3.198 1.847 5.223" Properties=species:S:1:pos:R:3 pbc="T T T"
Sn 6.397 3.693 0.647
Sn 8.001 4.619 3.266
Sn 4.792 4.619 3.266
Sn 6.397 1.841 3.266
In 0.000 0.000 0.000
Ba 3.198 1.847 1.306
```